{"formula": "Cs2BaLi2I6", "functional": "GGA-PBE", "state": "optimized geometry", "lattice_angstrom": [[8.971, 0.000, 0.000], [-4.485, 7.420, -0.020], [0.000, -4.263, 8.730]], "species": ["Cs", "Cs", "Ba", "Li", "Li", "I", "I", "I", "I", "I", "I"], "fractional_positions": [[0.707, 0.415, 0.170], [0.293, 0.585, 0.830], [0.500, 0.000, 0.500], [0.950, 0.900, 0.741], [0.050, 0.100, 0.259], [0.751, 0.502, 0.591], [0.192, 0.883, 0.197], [0.309, 0.117, 0.803], [0.808, 0.117, 0.803], [0.691, 0.883, 0.197], [0.249, 0.498, 0.409]], "raw_formation_energy_kj_per_mol_atoms": -140.5, "sg": "C2/m, No. 12"}

***

{"formula": "Tb5Tl2Pt2", "functional": "GGA-PBE", "state": "optimized geometry", "lattice_angstrom": [[7.370, 0.000, 0.000], [0.000, 8.347, 0.000], [0.000, -4.173, 7.903]], "species": ["Tb", "Tb", "Tb", "Tb", "Tb", "Tb", "Tb", "Tb", "Tb", "Tb", "Tl", "Tl", "Tl", "Tl", "Pt", "Pt", "Pt", "Pt"], "fractional_positions": [[0.000, 0.000, 0.000], [0.500, 0.500, 0.000], [0.842, 0.797, 0.239], [0.158, 0.441, 0.239], [0.342, 0.941, 0.239], [0.658, 0.297, 0.239], [0.158, 0.203, 0.761], [0.842, 0.559, 0.761], [0.658, 0.059, 0.761], [0.342, 0.703, 0.761], [0.000, 0.215, 0.430], [0.500, 0.715, 0.430], [0.000, 0.785, 0.570], [0.500, 0.285, 0.570], [0.636, 0.874, 0.000], [0.364, 0.126, 0.000], [0.136, 0.626, 0.000], [0.864, 0.374, 0.000]], "delta_e_f_ev_per_fu": -6.55, "sg": "Cmce, No. 64"}

***

{"formula": "La2HgRuPb", "functional": "GGA-PBE", "state": "optimized geometry", "lattice_angstrom": [[-0.529, 2.045, 5.021], [-2.547, -4.548, 1.584], [4.634, -2.124, 1.353]], "species": ["Pb", "Ru", "Hg", "La", "La"], "fractional_positions": [[0.000, 0.000, 0.500], [0.000, 0.000, 0.000], [0.500, 0.500, 0.500], [0.000, 0.500, 0.000], [0.500, 0.000, 0.000]], "delta_e_f_ev_per_fu": -1.60, "relative_energy_kj_per_mol_fu": 0.0, "sg": "P4/mmm, No. 123"}

***

{"formula": "Sr3AlN3", "functional": "GGA-PBE", "state": "optimized geometry", "lattice_angstrom": [[7.661, 0.000, 0.000], [-3.831, 6.635, 0.000], [0.000, 0.000, 5.390]], "species": ["Sr", "Sr", "Sr", "Sr", "Sr", "Sr", "Al", "Al", "N", "N", "N", "N", "N", "N"], "fractional_positions": [[0.928, 0.641, 0.250], [0.713, 0.072, 0.250], [0.359, 0.287, 0.250], [0.072, 0.359, 0.750], [0.287, 0.928, 0.750], [0.641, 0.713, 0.750], [0.667, 0.333, 0.750], [0.333, 0.667, 0.250], [0.894, 0.589, 0.750], [0.695, 0.106, 0.750], [0.411, 0.305, 0.750], [0.106, 0.411, 0.250], [0.305, 0.894, 0.250], [0.589, 0.695, 0.250]], "raw_formation_energy_kj_per_mol_atoms": -77.7, "relative_energy_kj_per_mol_fu": 0.0, "sg": "P6_3/m, No. 176"}

***

no.,E (eV per atom)
1,-2.979
2,-5.169
3,-4.949
4,-5.628